Tl3PdCl | meta-GGA SCAN | single point on PBEsol structure

Results
The theoretical density is 8.7 g/cm³. The value obtained for the total energy is -52.03 eV per atom.

Cell: 5.238 5.238 5.238 Å, 90.00 90.00 90.00°
Fractional positions:
Tl: 0.000 0.000 0.500
Tl: 0.000 0.500 0.000
Tl: 0.500 0.000 0.000
Pd: 0.000 0.000 0.000
Cl: 0.500 0.500 0.500